Entry from Alexandria: crystalline PuUCl at its relaxed geometry (GGA-PBE).

Unit cell a=3.501 b=8.055 c=6.403 alpha=49.62 beta=74.13 gamma=77.45
Each line ends with the local moment (μB).
Positions (direct):
U1 0.298 0.277 0.127  -0.28
Pu1 0.331 0.773 0.566  3.45
U2 0.702 0.723 0.873  -0.28
Cl1 0.014 0.748 0.225  -0.01
Pu2 0.669 0.227 0.434  3.45
Cl2 0.986 0.252 0.775  -0.01

Summary:
Formation energy from raw total energies: -0.449 eV per atom
Space-group type: C2/m (12)
DFT total energy: -9.604 eV/atom